[1]
DFT (PBE) results for crystalline K12Ag at its relaxed geometry. Values from VASP.

Results
The total energy is -1.1820 eV/atom.

Quantum ESPRESSO input file:
```
&SYSTEM
  ibrav = 0, nat = 13, ntyp = 2
/
ATOMIC_SPECIES
K 39.10 K.upf
Ag 107.87 Ag.upf
ATOMIC_POSITIONS crystal
K 0.5228 0.8264 0.6964
K 0.8264 0.6964 0.5228
K 0.8264 0.3036 0.1300
K 0.3036 0.1300 0.8264
K 0.1736 0.3036 0.4772
K 0.1300 0.8264 0.3036
K 0.1736 0.6964 0.8700
K 0.6964 0.8700 0.1736
K 0.6964 0.5228 0.8264
K 0.8700 0.1736 0.6964
K 0.4772 0.1736 0.3036
K 0.3036 0.4772 0.1736
Ag 0.0000 0.0000 0.0000
CELL_PARAMETERS angstrom
9.6735 0.0000 -3.4201
-4.8367 8.3775 -3.4201
0.0000 0.0000 10.2603
```


[2]
DFT (PBE) results for crystalline Li2ThPaO6 at its relaxed geometry. Values from VASP.

Results
As for the uncorrected formation energy: -2.903 eV/atom.

Quantum ESPRESSO input file:
```
&SYSTEM
  ibrav = 0, nat = 10, ntyp = 4
/
ATOMIC_SPECIES
O 16.00 O.upf
Li 6.94 Li.upf
Pa 231.04 Pa.upf
Th 232.04 Th.upf
ATOMIC_POSITIONS crystal
O 0.8625 0.7557 0.2536
O 0.8329 0.5898 0.7089
O 0.1333 0.2419 0.7088
O 0.4811 0.8902 0.7085
O 0.1617 0.4049 0.2537
O 0.5118 0.1059 0.2538
Li 0.4264 0.2127 0.6246
Li 0.5627 0.7809 0.3299
Pa 0.9969 0.4979 0.4808
Th 0.9963 0.9977 0.9799
CELL_PARAMETERS angstrom
5.5192 0.0002 -0.0014
-2.7592 4.7795 0.0006
-2.7585 -1.5920 5.3548
```


[3]
DFT (PBE) results for crystalline TaSb2Ru at its relaxed geometry. Values from VASP.

Results
As for the uncorrected formation energy: 0.503 eV/atom.

Quantum ESPRESSO input file:
```
&SYSTEM
  ibrav = 0, nat = 4, ntyp = 3
/
ATOMIC_SPECIES
Sb 121.76 Sb.upf
Ta 180.95 Ta.upf
Ru 101.07 Ru.upf
ATOMIC_POSITIONS crystal
Sb 0.0000 0.0000 0.0000
Sb 0.2500 0.2500 0.2500
Ta 0.7500 0.7500 0.7500
Ru 0.5000 0.5000 0.5000
CELL_PARAMETERS angstrom
-1.1785 -0.6571 -4.6217
-3.7100 -2.8419 -1.1578
-4.0525 1.9241 -1.7481
```


[4]
DFT (PBE) results for crystalline Rb2HfAgSe4 at its relaxed geometry. Values from VASP.

Results
As for the uncorrected formation energy: -0.947 eV/atom.

Quantum ESPRESSO input file:
```
&SYSTEM
  ibrav = 0, nat = 8, ntyp = 4
/
ATOMIC_SPECIES
Se 78.96 Se.upf
Ag 107.87 Ag.upf
Rb 85.47 Rb.upf
Hf 178.49 Hf.upf
ATOMIC_POSITIONS crystal
Se 0.5000 0.7095 0.3110
Se 0.0000 0.3506 0.2376
Se 0.0000 0.6494 0.7624
Se 0.5000 0.2905 0.6890
Ag 0.5000 0.5000 0.0000
Rb 0.5000 0.0000 0.5000
Rb 0.0000 0.0000 0.0000
Hf 0.0000 0.5000 0.5000
CELL_PARAMETERS angstrom
3.9700 0.0000 0.0000
0.0000 8.3534 -0.0713
0.0000 3.0155 7.1819
```


[5]
DFT (PBE) results for crystalline Ba2SrAl at its relaxed geometry. Values from VASP.

Results
The total energy is -2.2439 eV/atom.

Quantum ESPRESSO input file:
```
&SYSTEM
  ibrav = 0, nat = 4, ntyp = 3
/
ATOMIC_SPECIES
Ba 137.33 Ba.upf
Al 26.98 Al.upf
Sr 87.62 Sr.upf
ATOMIC_POSITIONS crystal
Ba 0.0000 0.5000 0.5000
Ba 0.0000 0.0000 0.0000
Al 0.5000 0.0000 0.5000
Sr 0.5000 0.5000 0.0000
CELL_PARAMETERS angstrom
5.0407 0.0000 0.0000
0.0000 5.8693 0.0000
0.0000 0.0000 5.8693
```


[6]
DFT (PBE) results for crystalline Dy5TmTh2 at its relaxed geometry. Values from VASP.

Results
The total energy is -5.0524 eV/atom.

Quantum ESPRESSO input file:
```
&SYSTEM
  ibrav = 0, nat = 16, ntyp = 3
/
ATOMIC_SPECIES
Dy 162.50 Dy.upf
Th 232.04 Th.upf
Tm 168.93 Tm.upf
ATOMIC_POSITIONS crystal
Dy 0.4867 0.5133 0.7500
Dy 0.0307 0.9690 0.1190
Dy 0.0002 0.5007 0.7667
Dy 0.5133 0.4867 0.2500
Dy 0.5007 0.0002 0.2667
Dy 0.9693 0.0310 0.8810
Dy 0.9998 0.4993 0.2333
Dy 0.0310 0.9693 0.3810
Dy 0.9690 0.0307 0.6190
Dy 0.4993 0.9998 0.7333
Th 0.5000 0.5000 0.5000
Th 0.5000 0.0000 0.0000
Th 0.5000 0.5000 0.0000
Th 0.0000 0.5000 0.5000
Tm 0.2075 0.7925 0.7500
Tm 0.7925 0.2075 0.2500
CELL_PARAMETERS angstrom
-4.9802 -7.9325 1.4345
6.5382 -5.8594 3.5643
-0.0750 -9.2683 9.4271
```


[7]
DFT (PBE) results for crystalline CaCe2PrHg4 at its relaxed geometry. Values from VASP.

Results
The total energy is -2.8854 eV/atom.

Quantum ESPRESSO input file:
```
&SYSTEM
  ibrav = 0, nat = 8, ntyp = 4
/
ATOMIC_SPECIES
Hg 200.59 Hg.upf
Ca 40.08 Ca.upf
Ce 140.12 Ce.upf
Pr 140.91 Pr.upf
ATOMIC_POSITIONS crystal
Hg 0.6257 0.6257 0.1230
Hg 0.8763 0.8763 0.3712
Hg 0.1237 0.1237 0.6288
Hg 0.3743 0.3743 0.8770
Ca 0.0000 0.0000 0.0000
Ce 0.2509 0.2509 0.2474
Ce 0.7491 0.7491 0.7526
Pr 0.5000 0.5000 0.5000
CELL_PARAMETERS angstrom
5.4150 0.0000 0.0000
2.7075 4.6896 0.0000
2.7075 1.5632 8.8793
```


[8]
DFT (PBE) results for crystalline OsRh2Cl at its relaxed geometry. Values from VASP.

Results
As for the uncorrected formation energy: 0.454 eV/atom.

Quantum ESPRESSO input file:
```
&SYSTEM
  ibrav = 0, nat = 4, ntyp = 3
/
ATOMIC_SPECIES
Cl 35.45 Cl.upf
Rh 102.91 Rh.upf
Os 190.23 Os.upf
ATOMIC_POSITIONS crystal
Cl 0.0000 0.5013 0.5179
Rh 0.0000 0.9996 0.9841
Rh 0.5000 0.4990 0.2000
Os 0.5000 0.5001 0.7981
CELL_PARAMETERS angstrom
3.5889 0.0000 0.0000
0.0000 2.8265 -0.0282
0.0000 0.0736 6.4835
```


[9]
DFT (PBE) results for crystalline DySc5Sn6 at its relaxed geometry. Values from VASP.

Results
The total energy is -5.5820 eV/atom.

Quantum ESPRESSO input file:
```
&SYSTEM
  ibrav = 0, nat = 12, ntyp = 3
/
ATOMIC_SPECIES
Sc 44.96 Sc.upf
Sn 118.71 Sn.upf
Dy 162.50 Dy.upf
ATOMIC_POSITIONS crystal
Sc 0.5000 0.8387 0.3225
Sc 0.0000 0.3289 0.3422
Sc 0.5000 0.1613 0.6775
Sc 0.5000 0.5000 0.0000
Sc 0.0000 0.6711 0.6578
Sn 0.7420 0.4333 0.6595
Sn 0.7420 0.0928 0.3405
Sn 0.2580 0.9072 0.6595
Sn 0.2580 0.5667 0.3405
Sn 0.7525 0.7270 0.0000
Sn 0.2475 0.2730 0.0000
Dy 0.0000 0.0000 0.0000
CELL_PARAMETERS angstrom
-5.6341 6.5016 -2.3288
-0.8789 0.4026 -5.3315
-5.5454 -4.0365 -2.1441
```


[10]
DFT (PBE) results for crystalline Sc5Co4Ni at its relaxed geometry. Values from VASP.

Results
The total energy is -6.9786 eV/atom.

Quantum ESPRESSO input file:
```
&SYSTEM
  ibrav = 0, nat = 10, ntyp = 3
/
ATOMIC_SPECIES
Ni 58.69 Ni.upf
Sc 44.96 Sc.upf
Co 58.93 Co.upf
ATOMIC_POSITIONS crystal
Ni 0.0000 0.0000 0.0000
Sc 0.5000 0.5000 0.3014
Sc 0.5000 0.5000 0.5000
Sc 0.5000 0.5000 0.8968
Sc 0.5000 0.5000 0.6986
Sc 0.5000 0.5000 0.1032
Co 0.0000 0.0000 0.1993
Co 0.0000 0.0000 0.8007
Co 0.0000 0.0000 0.5998
Co 0.0000 0.0000 0.4002
CELL_PARAMETERS angstrom
-1.5184 -1.8094 2.0690
2.5619 -0.0754 1.8141
-4.9617 12.7839 7.5386
```


[11]
DFT (PBE) results for crystalline TiHgSb2I at its relaxed geometry. Values from VASP.

Results
As for the uncorrected formation energy: 1.072 eV/atom.

Quantum ESPRESSO input file:
```
&SYSTEM
  ibrav = 0, nat = 5, ntyp = 4
/
ATOMIC_SPECIES
I 126.90 I.upf
Sb 121.76 Sb.upf
Ti 47.87 Ti.upf
Hg 200.59 Hg.upf
ATOMIC_POSITIONS crystal
I 0.0000 0.0000 0.5000
Sb 0.5000 0.0000 0.0000
Sb 0.0000 0.5000 0.0000
Ti 0.5000 0.5000 0.5000
Hg 0.0000 0.0000 0.0000
CELL_PARAMETERS angstrom
5.4414 0.0000 0.0000
0.0000 5.4414 0.0000
0.0000 0.0000 5.9452
```


[12]
DFT (PBE) results for crystalline MgPW at its relaxed geometry. Values from VASP.

Results
The total energy is -6.6014 eV/atom.

Quantum ESPRESSO input file:
```
&SYSTEM
  ibrav = 0, nat = 3, ntyp = 3
/
ATOMIC_SPECIES
P 30.97 P.upf
Mg 24.30 Mg.upf
W 183.84 W.upf
ATOMIC_POSITIONS crystal
P 0.6667 0.3333 0.4997
Mg 0.0000 0.0000 0.0002
W 0.3333 0.6667 0.5000
CELL_PARAMETERS angstrom
-0.9831 1.3172 -3.7356
2.4752 -3.2143 0.4445
-2.7935 -2.1546 -0.0245
```


[13]
DFT (PBE) results for crystalline KTcIN2 at its relaxed geometry. Values from VASP.

Results
As for the uncorrected formation energy: 0.456 eV/atom.

Quantum ESPRESSO input file:
```
&SYSTEM
  ibrav = 0, nat = 5, ntyp = 4
/
ATOMIC_SPECIES
N 14.01 N.upf
I 126.90 I.upf
K 39.10 K.upf
Tc 98.00 Tc.upf
ATOMIC_POSITIONS crystal
N 0.0000 0.5000 0.0000
N 0.5000 0.0000 0.0000
I 0.0000 0.0000 0.5000
K 0.5000 0.5000 0.5000
Tc 0.0000 0.0000 0.0000
CELL_PARAMETERS angstrom
4.0808 0.0000 0.0000
0.0000 4.0808 0.0000
0.0000 0.0000 5.8032
```


[14]
DFT (PBE) results for crystalline K2SrCr at its relaxed geometry. Values from VASP.

Results
The total energy is -2.6637 eV/atom.

Quantum ESPRESSO input file:
```
&SYSTEM
  ibrav = 0, nat = 4, ntyp = 3
/
ATOMIC_SPECIES
K 39.10 K.upf
Sr 87.62 Sr.upf
Cr 52.00 Cr.upf
ATOMIC_POSITIONS crystal
K 0.0000 0.0000 0.5350
K 0.0000 0.0000 0.9650
Sr 0.5000 0.5000 0.2500
Cr 0.5000 0.5000 0.7500
CELL_PARAMETERS angstrom
-1.6019 -4.1217 -0.5332
1.8717 -0.0625 -5.1401
6.9118 -3.0166 2.5535
```


[15]
DFT (PBE) results for crystalline LiCe6 at its relaxed geometry. Values from VASP.

Results
The total energy is -4.5823 eV/atom.

Quantum ESPRESSO input file:
```
&SYSTEM
  ibrav = 0, nat = 7, ntyp = 2
/
ATOMIC_SPECIES
Ce 140.12 Ce.upf
Li 6.94 Li.upf
ATOMIC_POSITIONS crystal
Ce 0.5000 0.2500 0.7500
Ce 0.7500 0.5000 0.2500
Ce 0.2500 0.5000 0.7500
Ce 0.5000 0.7500 0.2500
Ce 0.7500 0.2500 0.5000
Ce 0.2500 0.7500 0.5000
Li 0.0000 0.0000 0.0000
CELL_PARAMETERS angstrom
-0.7054 2.2561 -6.1753
-5.9255 -1.6257 2.4430
2.7225 4.7030 3.7672
```


[16]
DFT (PBE) results for crystalline InNiHg2 at its relaxed geometry. Values from VASP.

Results
The total energy is -2.0206 eV/atom.

Quantum ESPRESSO input file:
```
&SYSTEM
  ibrav = 0, nat = 4, ntyp = 3
/
ATOMIC_SPECIES
In 114.82 In.upf
Hg 200.59 Hg.upf
Ni 58.69 Ni.upf
ATOMIC_POSITIONS crystal
In 0.5000 0.0000 0.5000
Hg 0.0000 0.0000 0.0000
Hg 0.5000 0.5000 0.0000
Ni 0.0000 0.5000 0.5000
CELL_PARAMETERS angstrom
-2.7343 2.9438 -4.3732
0.2257 -5.9213 -0.3937
-3.1865 -1.1981 -0.2989
```


[17]
DFT (PBE) results for crystalline LiMnBe at its relaxed geometry. Values from VASP.

Results
The total energy is -4.6263 eV/atom.

Quantum ESPRESSO input file:
```
&SYSTEM
  ibrav = 0, nat = 3, ntyp = 3
/
ATOMIC_SPECIES
Mn 54.94 Mn.upf
Li 6.94 Li.upf
Be 9.01 Be.upf
ATOMIC_POSITIONS crystal
Mn 0.3333 0.6667 0.6504
Li 0.6667 0.3333 0.2970
Be 0.0000 0.0000 0.0526
CELL_PARAMETERS angstrom
3.9953 0.0000 0.0000
-1.9976 3.4600 0.0000
0.0000 0.0000 2.2842
```